i) KGe3Ru | PBE | optimized geometry

Geometry as CIF:
```
data_KGe3Ru
_space_group_name_H-M_alt 'P 1'
_space_group_IT_number 1
_cell_length_a 5.311
_cell_length_b 5.311
_cell_length_c 5.311
_cell_angle_alpha 90.00
_cell_angle_beta 90.00
_cell_angle_gamma 90.00
loop_
_space_group_symop_operation_xyz
'x,y,z'
loop_
_atom_site_label
_atom_site_fract_x
_atom_site_fract_y
_atom_site_fract_z
Ru1 0.500 0.500 0.500
K1 0.000 0.000 0.000
Ge1 0.000 0.000 0.500
Ge2 0.500 0.000 0.000
Ge3 0.000 0.500 0.000
```



ii) KGe3Ru | PBE | optimized geometry

Geometry as CIF:
```
data_KGe3Ru
_space_group_name_H-M_alt 'P 1'
_space_group_IT_number 1
_cell_length_a 4.919
_cell_length_b 4.919
_cell_length_c 4.919
_cell_angle_alpha 90.00
_cell_angle_beta 90.00
_cell_angle_gamma 90.00
loop_
_space_group_symop_operation_xyz
'x,y,z'
loop_
_atom_site_label
_atom_site_fract_x
_atom_site_fract_y
_atom_site_fract_z
K1 0.500 0.500 0.500
Ge1 0.000 0.500 0.000
Ge2 0.500 0.000 0.000
Ge3 0.000 0.000 0.500
Ru1 0.000 0.000 0.000
```



Sorted by energy, starting with the most stable: ii), i).



i) KGe2Ru | PBE | optimized geometry

Geometry as CIF:
```
data_KGe2Ru
_space_group_name_H-M_alt 'P 1'
_space_group_IT_number 1
_cell_length_a 4.207
_cell_length_b 4.207
_cell_length_c 6.717
_cell_angle_alpha 71.75
_cell_angle_beta 71.75
_cell_angle_gamma 60.00
loop_
_space_group_symop_operation_xyz
'x,y,z'
loop_
_atom_site_label
_atom_site_fract_x
_atom_site_fract_y
_atom_site_fract_z
Ge1 0.703 0.703 0.891
Ge2 0.297 0.297 0.109
K1 0.500 0.500 0.500
Ru1 0.000 0.000 0.000
```



ii) KGe2Ru | PBE | optimized geometry

Geometry as CIF:
```
data_KGe2Ru
_space_group_name_H-M_alt 'P 1'
_space_group_IT_number 1
_cell_length_a 4.689
_cell_length_b 4.689
_cell_length_c 4.689
_cell_angle_alpha 60.00
_cell_angle_beta 60.00
_cell_angle_gamma 60.00
loop_
_space_group_symop_operation_xyz
'x,y,z'
loop_
_atom_site_label
_atom_site_fract_x
_atom_site_fract_y
_atom_site_fract_z
Ge1 0.750 0.750 0.750
Ge2 0.250 0.250 0.250
K1 0.000 0.000 0.000
Ru1 0.500 0.500 0.500
```



Sorted by energy, starting with the most stable: i), ii).



i) KGe3S | PBE | optimized geometry

Geometry as CIF:
```
data_KGe3S
_space_group_name_H-M_alt 'P 1'
_space_group_IT_number 1
_cell_length_a 5.136
_cell_length_b 5.136
_cell_length_c 5.136
_cell_angle_alpha 90.00
_cell_angle_beta 90.00
_cell_angle_gamma 90.00
loop_
_space_group_symop_operation_xyz
'x,y,z'
loop_
_atom_site_label
_atom_site_fract_x
_atom_site_fract_y
_atom_site_fract_z
Ge1 0.500 0.000 0.000
Ge2 0.000 0.500 0.000
Ge3 0.000 0.000 0.500
K1 0.500 0.500 0.500
S1 0.000 0.000 0.000
```



ii) KGe3S | PBE | optimized geometry

Geometry as CIF:
```
data_KGe3S
_space_group_name_H-M_alt 'P 1'
_space_group_IT_number 1
_cell_length_a 5.584
_cell_length_b 5.584
_cell_length_c 5.584
_cell_angle_alpha 90.00
_cell_angle_beta 90.00
_cell_angle_gamma 90.00
loop_
_space_group_symop_operation_xyz
'x,y,z'
loop_
_atom_site_label
_atom_site_fract_x
_atom_site_fract_y
_atom_site_fract_z
Ge1 0.000 0.000 0.500
Ge2 0.500 0.000 0.000
Ge3 0.000 0.500 0.000
K1 0.000 0.000 0.000
S1 0.500 0.500 0.500
```



Sorted by energy, starting with the most stable: i), ii).



i) K2Ge2S5 | PBE | optimized geometry

Geometry as CIF:
```
data_K2Ge2S5
_space_group_name_H-M_alt 'P 1'
_space_group_IT_number 1
_cell_length_a 11.354
_cell_length_b 11.354
_cell_length_c 8.589
_cell_angle_alpha 89.64
_cell_angle_beta 89.64
_cell_angle_gamma 89.99
loop_
_space_group_symop_operation_xyz
'x,y,z'
loop_
_atom_site_label
_atom_site_fract_x
_atom_site_fract_y
_atom_site_fract_z
S1 0.572 0.750 0.459
S2 0.750 0.934 0.958
S3 0.747 0.250 0.552
S4 0.583 0.417 0.250
S5 0.934 0.750 0.458
S6 0.428 0.250 0.541
S7 0.250 0.066 0.042
S8 0.086 0.914 0.750
S9 0.914 0.086 0.250
S10 0.066 0.250 0.542
S11 0.417 0.583 0.750
S12 0.250 0.747 0.052
S13 0.250 0.428 0.041
S14 0.750 0.253 0.948
S15 0.086 0.583 0.749
S16 0.583 0.086 0.249
S17 0.914 0.417 0.251
S18 0.417 0.914 0.751
S19 0.253 0.750 0.448
S20 0.750 0.572 0.959
Ge1 0.912 0.251 0.399
Ge2 0.251 0.583 0.899
Ge3 0.583 0.251 0.399
Ge4 0.417 0.749 0.601
Ge5 0.749 0.088 0.101
Ge6 0.088 0.749 0.601
Ge7 0.749 0.417 0.101
Ge8 0.251 0.912 0.899
K1 0.954 0.752 0.076
K2 0.248 0.046 0.424
K3 0.248 0.454 0.422
K4 0.546 0.752 0.078
K5 0.752 0.954 0.576
K6 0.454 0.248 0.922
K7 0.752 0.546 0.578
K8 0.046 0.248 0.924
```



ii) K2Ge2S5 | PBE | optimized geometry

Geometry as CIF:
```
data_K2Ge2S5
_space_group_name_H-M_alt 'P 1'
_space_group_IT_number 1
_cell_length_a 5.108
_cell_length_b 6.838
_cell_length_c 7.767
_cell_angle_alpha 99.01
_cell_angle_beta 90.00
_cell_angle_gamma 111.93
loop_
_space_group_symop_operation_xyz
'x,y,z'
loop_
_atom_site_label
_atom_site_fract_x
_atom_site_fract_y
_atom_site_fract_z
K1 0.595 0.190 0.320
K2 0.405 0.810 0.680
S1 0.000 0.000 0.000
S2 0.862 0.723 0.396
S3 0.683 0.365 0.939
S4 0.138 0.277 0.604
S5 0.317 0.635 0.061
Ge1 0.159 0.318 0.882
Ge2 0.841 0.682 0.118
```



Sorted by energy, starting with the most stable: i), ii).



i) K2GeSb | PBE | optimized geometry

Geometry as CIF:
```
data_K2GeSb
_space_group_name_H-M_alt 'P 1'
_space_group_IT_number 1
_cell_length_a 13.010
_cell_length_b 13.010
_cell_length_c 9.582
_cell_angle_alpha 47.25
_cell_angle_beta 47.25
_cell_angle_gamma 90.00
loop_
_space_group_symop_operation_xyz
'x,y,z'
loop_
_atom_site_label
_atom_site_fract_x
_atom_site_fract_y
_atom_site_fract_z
Sb1 0.750 0.250 0.500
Sb2 0.000 0.000 0.000
K1 0.380 0.125 0.250
K2 0.370 0.625 0.250
K3 0.375 0.620 0.750
K4 0.875 0.630 0.750
Ge1 0.250 0.750 0.500
Ge2 0.500 0.500 0.000
```



ii) K2GeSb | PBE | optimized geometry

Geometry as CIF:
```
data_K2GeSb
_space_group_name_H-M_alt 'P 1'
_space_group_IT_number 1
_cell_length_a 5.727
_cell_length_b 5.727
_cell_length_c 5.727
_cell_angle_alpha 60.00
_cell_angle_beta 60.00
_cell_angle_gamma 60.00
loop_
_space_group_symop_operation_xyz
'x,y,z'
loop_
_atom_site_label
_atom_site_fract_x
_atom_site_fract_y
_atom_site_fract_z
Sb1 0.500 0.500 0.500
K1 0.750 0.750 0.750
K2 0.250 0.250 0.250
Ge1 0.000 0.000 0.000
```



iii) K2GeSb | PBE | optimized geometry

Geometry as CIF:
```
data_K2GeSb
_space_group_name_H-M_alt 'P 1'
_space_group_IT_number 1
_cell_length_a 6.795
_cell_length_b 9.578
_cell_length_c 11.017
_cell_angle_alpha 110.73
_cell_angle_beta 90.00
_cell_angle_gamma 90.00
loop_
_space_group_symop_operation_xyz
'x,y,z'
loop_
_atom_site_label
_atom_site_fract_x
_atom_site_fract_y
_atom_site_fract_z
K1 0.821 0.645 0.747
K2 0.706 0.120 0.182
K3 0.679 0.145 0.747
K4 0.794 0.620 0.182
K5 0.179 0.355 0.253
K6 0.206 0.380 0.818
K7 0.294 0.880 0.818
K8 0.321 0.855 0.253
Sb1 0.832 0.288 0.520
Sb2 0.332 0.212 0.480
Sb3 0.168 0.712 0.480
Sb4 0.668 0.788 0.520
Ge1 0.619 0.477 0.407
Ge2 0.881 0.977 0.407
Ge3 0.119 0.023 0.593
Ge4 0.381 0.523 0.593
```



iv) K2GeSb | PBE | optimized geometry

Geometry as CIF:
```
data_K2GeSb
_space_group_name_H-M_alt 'P 1'
_space_group_IT_number 1
_cell_length_a 5.839
_cell_length_b 6.893
_cell_length_c 6.893
_cell_angle_alpha 101.98
_cell_angle_beta 90.00
_cell_angle_gamma 90.00
loop_
_space_group_symop_operation_xyz
'x,y,z'
loop_
_atom_site_label
_atom_site_fract_x
_atom_site_fract_y
_atom_site_fract_z
Sb1 0.250 0.804 0.804
Sb2 0.750 0.196 0.196
Ge1 0.000 0.500 0.500
Ge2 0.500 0.500 0.500
K1 0.250 0.337 0.974
K2 0.250 0.974 0.337
K3 0.750 0.026 0.663
K4 0.750 0.663 0.026
```



Sorted by energy, starting with the most stable: iv), iii), i), ii).



i) K3GeSb | PBE | optimized geometry

Geometry as CIF:
```
data_K3GeSb
_space_group_name_H-M_alt 'P 1'
_space_group_IT_number 1
_cell_length_a 6.700
_cell_length_b 6.700
_cell_length_c 6.700
_cell_angle_alpha 90.00
_cell_angle_beta 90.00
_cell_angle_gamma 90.00
loop_
_space_group_symop_operation_xyz
'x,y,z'
loop_
_atom_site_label
_atom_site_fract_x
_atom_site_fract_y
_atom_site_fract_z
K1 0.000 0.000 0.500
K2 0.000 0.500 0.000
K3 0.500 0.000 0.000
Ge1 0.500 0.500 0.500
Sb1 0.000 0.000 0.000
```



ii) K3GeSb | PBE | optimized geometry

Geometry as CIF:
```
data_K3GeSb
_space_group_name_H-M_alt 'P 1'
_space_group_IT_number 1
_cell_length_a 9.028
_cell_length_b 9.028
_cell_length_c 9.028
_cell_angle_alpha 76.52
_cell_angle_beta 126.25
_cell_angle_gamma 129.92
loop_
_space_group_symop_operation_xyz
'x,y,z'
loop_
_atom_site_label
_atom_site_fract_x
_atom_site_fract_y
_atom_site_fract_z
Ge1 0.122 0.456 0.167
Ge2 0.289 0.956 0.833
K1 0.632 0.315 0.213
K2 0.632 0.918 0.816
K3 0.102 0.418 0.787
K4 0.686 0.645 0.541
K5 0.102 0.815 0.184
K6 0.103 0.145 0.459
Sb1 0.678 0.325 0.853
Sb2 0.472 0.825 0.147
```



Sorted by energy, starting with the most stable: ii), i).